Entry 1:
14
Lattice="5.919 -1.389 -1.650 0.560 6.054 -1.650 0.897 0.645 11.586" Properties=species:S:1:pos:R:3 comment="Sm5MgIn | Alexandria | PBE | optimized geometry" ef_ev_per_atom=-0.019 density_g_cm3=6.7 total_magnetization_mub_per_cell=0.0 pbc="T T T"
Sm 6.364 2.301 -0.726
Sm 5.249 2.132 4.148
Sm 3.239 3.978 -1.645
Sm 4.649 5.628 5.067
Sm 1.952 5.538 7.040
Sm 2.726 -0.318 3.220
Sm 1.012 3.009 9.013
Sm 5.423 -0.228 1.247
Sm 2.127 3.178 4.138
Sm 4.137 1.332 9.931
In 3.528 2.405 1.247
In 3.848 2.905 7.040
Mg 0.448 0.323 5.793
Mg 0.000 0.000 0.000

---

Entry 2:
12
Lattice="10.070 -0.894 0.000 1.934 6.215 0.000 0.967 3.107 5.662" Properties=species:S:1:pos:R:3 comment="Sm6MgIn5 | Alexandria | PBE | optimized geometry" de_polymorph_mev_per_atom=188 ef_ev_per_atom=-0.255 density_g_cm3=6.8 total_magnetization_mub_per_cell=0.0 pbc="T T T"
In 6.002 2.661 0.000
In 6.969 5.768 1.692
In 1.934 6.215 3.569
In 6.002 2.661 3.971
In 0.967 3.107 2.093
Sm 2.906 1.445 0.000
Sm 9.097 3.876 0.000
Sm 8.932 4.067 3.731
Sm 4.039 4.362 1.932
Sm 5.006 7.469 3.731
Sm 7.965 0.959 1.932
Mg 0.000 0.000 0.000

---

Entry 3:
18
Lattice="6.381 0.000 0.000 0.000 8.416 0.000 -3.191 0.000 8.527" Properties=species:S:1:pos:R:3 comment="Sm2Mg3In4 | Alexandria | PBE | optimized geometry" ef_ev_per_atom=-0.296 density_g_cm3=6.0 total_magnetization_mub_per_cell=0.0 pbc="T T T"
Sm 3.191 3.370 6.791
Sm 0.000 5.047 1.736
Sm 0.000 0.838 6.791
Sm 3.191 7.578 1.736
Mg -1.595 6.312 4.541
Mg 4.786 2.104 3.987
Mg 1.595 6.312 4.541
Mg 0.000 0.000 0.000
Mg 3.191 4.208 0.000
Mg 1.595 2.104 3.987
In 0.000 8.213 2.920
In 4.786 2.104 1.047
In 3.191 0.203 5.607
In -1.595 6.312 7.480
In 1.595 2.104 1.047
In 3.191 4.411 2.920
In 1.595 6.312 7.480
In 0.000 4.005 5.607

---

Entry 4:
12
Lattice="5.147 -0.031 1.730 0.041 7.616 0.014 0.013 -0.015 8.613" Properties=species:S:1:pos:R:3 comment="Sm6MgIn5 | Alexandria | PBE | optimized geometry" de_polymorph_mev_per_atom=0 ef_ev_per_atom=-0.442 density_g_cm3=7.4 total_magnetization_mub_per_cell=0.0 pbc="T T T"
In 1.741 3.793 3.449
In 3.460 3.777 6.908
In 3.407 -0.031 6.990
In 0.020 3.808 0.007
In 1.753 -0.015 3.353
Sm 0.906 5.707 6.015
Sm 4.294 1.863 4.342
Sm 2.584 1.913 0.868
Sm 0.886 1.878 6.008
Sm 2.604 5.673 0.875
Sm 4.315 5.691 4.349
Mg 0.000 0.000 0.000

---

Entry 5:
11
Lattice="-0.842 -0.308 4.789 -0.203 -4.855 -0.348 11.955 -0.649 2.061" Properties=species:S:1:pos:R:3 comment="Sm2MgIn8 | Alexandria | PBE | optimized geometry" ef_ev_per_atom=-0.307 density_g_cm3=7.2 total_magnetization_mub_per_cell=0.0 pbc="T T T"
Sm 8.221 -0.446 1.418
Sm 3.734 -0.203 0.644
In 5.876 -2.752 0.857
In 5.556 -0.478 3.425
In 9.954 -0.717 4.183
In 7.699 -3.028 3.638
In 3.210 -2.784 2.864
In 1.478 -2.513 0.099
In 1.159 -0.240 2.667
In 10.273 -2.990 1.615
Mg 0.000 0.000 0.000

---

Entry 6:
12
Lattice="5.423 0.000 0.000 -2.711 4.696 0.000 0.000 0.000 13.312" Properties=species:S:1:pos:R:3 comment="Sm3Mg2In | Alexandria | PBE | optimized geometry" de_polymorph_mev_per_atom=0 ef_ev_per_atom=-0.252 density_g_cm3=6.0 total_magnetization_mub_per_cell=0.0 pbc="T T T"
In 0.000 3.131 8.854
In 2.711 1.565 4.458
Mg 0.000 3.131 2.156
Mg 0.000 0.000 6.656
Mg 2.711 1.565 11.156
Mg 0.000 0.000 0.000
Sm 0.000 0.000 3.330
Sm 0.000 3.131 12.184
Sm 2.711 1.565 7.780
Sm 0.000 3.131 5.532
Sm 2.711 1.565 1.129
Sm 0.000 0.000 9.982

---

Entry 7:
10
Lattice="5.172 0.000 0.000 -2.586 4.479 0.000 0.000 0.000 12.261" Properties=species:S:1:pos:R:3 comment="SmMg2In2 | Alexandria | PBE | optimized geometry" de_polymorph_mev_per_atom=81 ef_ev_per_atom=-0.046 density_g_cm3=5.0 total_magnetization_mub_per_cell=0.0 pbc="T T T"
Mg 0.000 2.986 7.389
Mg 2.586 1.493 4.872
Mg 0.000 2.986 11.002
Mg 2.586 1.493 1.259
In 0.000 2.986 3.065
In 2.586 1.493 9.196
In 0.000 0.000 6.130
In 0.000 0.000 0.000
Sm 0.000 0.000 3.065
Sm 0.000 0.000 9.196

---

Entry 8:
14
Lattice="8.243 0.013 -0.023 -2.777 7.761 0.023 -2.690 -3.918 6.735" Properties=species:S:1:pos:R:3 comment="Sm8MgIn5 | Alexandria | PBE | optimized geometry" ef_ev_per_atom=-0.253 density_g_cm3=6.9 total_magnetization_mub_per_cell=0.0 pbc="T T T"
Sm 0.632 0.409 2.497
Sm -2.532 3.879 3.507
Sm 1.650 3.712 1.638
Sm 5.724 -2.096 4.841
Sm 4.618 0.463 2.394
Sm -1.133 5.752 0.276
Sm 0.330 3.649 5.856
Sm 1.817 -0.340 5.932
In 2.795 2.343 4.264
In 2.777 -1.952 3.356
In 0.030 -2.921 6.641
In 4.036 5.871 1.652
In -1.307 2.420 0.913
Mg -1.345 0.946 5.057

---

Entry 9:
8
Lattice="8.845 -0.079 0.189 4.341 7.701 0.121 4.366 2.557 3.764" Properties=species:S:1:pos:R:3 comment="Sm6MgIn | Alexandria | PBE | optimized geometry" de_polymorph_mev_per_atom=55 ef_ev_per_atom=-0.072 density_g_cm3=6.9 total_magnetization_mub_per_cell=0.0 pbc="T T T"
Sm 10.736 7.613 2.988
Sm 11.956 4.378 1.350
Sm 5.595 5.801 2.724
Sm 6.816 2.567 1.087
Sm 3.410 0.811 0.942
Sm 14.141 9.368 3.132
In 8.776 5.090 2.037
Mg 0.000 0.000 0.000

---

Entry 10:
9
Lattice="4.965 0.000 0.000 -2.482 5.642 -0.654 0.000 -3.207 8.837" Properties=species:S:1:pos:R:3 comment="Sm3Mg2In4 | Alexandria | PBE | optimized geometry" ef_ev_per_atom=-0.415 density_g_cm3=6.7 total_magnetization_mub_per_cell=0.0 pbc="T T T"
In 2.482 2.987 4.791
In 0.000 0.209 8.003
In 0.000 -0.551 3.391
In 2.482 2.227 0.180
Sm 0.000 0.000 0.000
Sm 2.482 -0.289 5.686
Sm 0.000 2.724 2.496
Mg 0.000 2.052 5.828
Mg 2.482 0.383 2.354

---

Entry 11:
4
Lattice="5.214 -0.026 -0.033 -2.600 4.519 0.033 -2.596 -1.497 4.259" Properties=species:S:1:pos:R:3 comment="SmMg2In | Alexandria | PBE | optimized geometry" de_polymorph_mev_per_atom=47 ef_ev_per_atom=-0.244 density_g_cm3=5.2 total_magnetization_mub_per_cell=0.0 pbc="T T T"
Sm -1.297 0.754 1.869
Mg -3.895 2.265 4.016
Mg 1.310 -0.762 2.908
In 1.310 2.245 0.798

---

Entry 12:
7
Lattice="5.114 0.000 1.598 2.307 4.564 1.598 -0.045 -0.028 9.126" Properties=species:S:1:pos:R:3 comment="Sm4Mg2In | Alexandria | PBE | optimized geometry" de_polymorph_mev_per_atom=0 ef_ev_per_atom=-0.041 density_g_cm3=6.0 total_magnetization_mub_per_cell=0.0 pbc="T T T"
Sm 2.807 1.726 8.982
Sm 4.570 2.810 3.340
Sm 0.936 0.576 5.986
Sm 6.440 3.960 6.336
Mg 5.488 3.375 9.384
Mg 1.889 1.161 2.938
In 0.000 0.000 0.000

---

Entry 13:
12
Lattice="5.421 0.000 0.000 -2.710 4.694 0.000 0.000 0.000 13.266" Properties=species:S:1:pos:R:3 comment="Sm3MgIn2 | Alexandria | PBE | optimized geometry" de_polymorph_mev_per_atom=0 ef_ev_per_atom=-0.387 density_g_cm3=6.9 total_magnetization_mub_per_cell=0.0 pbc="T T T"
In 0.000 0.000 6.633
In 2.710 1.565 10.947
In 0.000 3.130 2.319
In 0.000 0.000 0.000
Sm 2.710 1.565 7.714
Sm 0.000 3.130 12.194
Sm 2.710 1.565 1.073
Sm 0.000 0.000 3.293
Sm 0.000 3.130 5.552
Sm 0.000 0.000 9.973
Mg 0.000 3.130 8.865
Mg 2.710 1.565 4.401

---

Entry 14:
11
Lattice="-0.572 5.084 2.283 -8.279 -3.222 0.585 6.547 -3.499 4.916" Properties=species:S:1:pos:R:3 comment="Sm8Mg2In | Alexandria | PBE | optimized geometry" ef_ev_per_atom=0.035 density_g_cm3=6.5 total_magnetization_mub_per_cell=0.0 pbc="T T T"
Sm -3.551 -0.881 5.853
Sm -0.190 -0.944 6.835
Sm -5.440 -0.739 2.640
Sm 3.135 -0.899 5.145
Sm -2.115 -0.694 0.949
Sm -1.206 -2.516 3.969
Sm 1.247 -0.756 1.931
Sm -1.098 0.878 3.815
Mg 2.011 -3.415 3.591
Mg -3.743 -3.307 1.910
In -0.286 2.542 1.142

---

Entry 15:
10
Lattice="-0.088 -3.829 -0.182 3.557 -0.149 1.422 -7.141 -0.681 17.788" Properties=species:S:1:pos:R:3 comment="Sm5MgIn4 | Alexandria | PBE | optimized geometry" ef_ev_per_atom=-0.415 density_g_cm3=7.3 total_magnetization_mub_per_cell=0.0 pbc="T T T"
Sm -4.699 -2.602 16.647
Sm -3.266 -2.466 13.079
Sm -0.405 -2.193 5.951
Sm 1.028 -2.056 2.382
Sm -1.836 -2.329 9.515
In -5.734 -0.547 14.284
In -4.286 -0.409 10.676
In -2.855 -0.272 7.113
In -1.407 -0.134 3.504
Mg 0.000 0.000 0.000

---

Entry 16:
20
Lattice="-6.006 0.218 -1.940 -2.685 -9.017 -2.978 -5.892 -1.181 7.827" Properties=species:S:1:pos:R:3 comment="Sm3Mg5In2 | Alexandria | PBE | optimized geometry" ef_ev_per_atom=-0.104 density_g_cm3=4.8 total_magnetization_mub_per_cell=0.7 pbc="T T T"
Sm -8.442 -4.266 5.097
Sm -4.504 0.163 -1.455
Sm -4.796 -1.771 4.370
Sm -1.501 0.054 -0.485
Sm -9.786 -8.209 -1.461
Sm -6.141 -5.714 -2.188
Mg -8.793 -4.936 0.970
Mg -7.459 -2.606 2.241
Mg -11.070 -4.960 2.877
Mg -3.513 -5.020 0.032
Mg -9.420 -7.478 2.627
Mg -7.124 -7.374 0.668
Mg -5.790 -5.045 1.940
Mg -6.418 -7.587 3.597
Mg -5.162 -2.502 0.282
Mg -8.165 -2.393 -0.688
In -8.042 -0.822 4.248
In -6.540 -9.158 -1.339
In -11.764 -3.623 5.175
In -2.819 -6.357 -2.265

---

Entry 17:
11
Lattice="5.480 0.000 0.000 0.000 8.742 -0.455 -2.740 -3.913 7.331" Properties=species:S:1:pos:R:3 comment="Sm8MgIn2 | Alexandria | PBE | optimized geometry" ef_ev_per_atom=-0.179 density_g_cm3=7.1 total_magnetization_mub_per_cell=0.0 pbc="T T T"
Sm 2.740 6.837 2.228
Sm 2.740 4.278 4.953
Sm 2.740 -0.966 6.241
Sm 0.000 -2.009 4.649
Sm 0.000 1.628 5.716
Sm 2.740 3.201 1.160
Sm 0.000 0.551 1.923
Sm 0.000 5.795 0.635
In 2.740 1.145 3.812
In 0.000 3.683 3.065
Mg 2.740 0.000 0.000

---

Entry 18:
12
Lattice="-2.972 1.370 3.519 -4.873 -6.759 -4.765 5.169 -2.183 5.216" Properties=species:S:1:pos:R:3 comment="SmMg3In2 | Alexandria | PBE | optimized geometry" ef_ev_per_atom=-0.240 density_g_cm3=5.1 total_magnetization_mub_per_cell=0.0 pbc="T T T"
Mg -3.458 -5.087 -0.939
Mg -1.545 -2.774 3.057
Mg 0.782 -2.484 4.910
Mg 1.393 -1.826 1.888
Mg -4.069 -5.746 2.082
Mg -1.130 -4.798 0.914
In 1.159 -4.662 2.795
In -3.835 -2.909 1.175
In -0.671 -0.010 2.719
In -2.005 -7.561 1.251
Sm -1.448 -6.054 4.416
Sm -1.228 -1.518 -0.446

---

Entry 19:
7
Lattice="-2.091 -4.462 2.101 2.763 -4.587 -0.161 3.793 -1.132 8.201" Properties=species:S:1:pos:R:3 comment="Sm4MgIn2 | Alexandria | PBE | optimized geometry" de_polymorph_mev_per_atom=0 ef_ev_per_atom=-0.257 density_g_cm3=6.7 total_magnetization_mub_per_cell=0.0 pbc="T T T"
Sm 2.078 -8.306 4.916
Sm 3.466 -4.439 7.681
Sm 0.999 -5.741 2.459
Sm 2.387 -1.874 5.225
In 1.046 -2.582 2.387
In 3.418 -7.598 7.754
Mg 0.000 0.000 0.000

---

Entry 20:
8
Lattice="6.406 -0.098 -2.128 -3.355 5.458 -2.130 0.051 0.093 6.751" Properties=species:S:1:pos:R:3 comment="Sm5Mg2In | Alexandria | PBE | optimized geometry" de_polymorph_mev_per_atom=0 ef_ev_per_atom=-0.125 density_g_cm3=6.4 total_magnetization_mub_per_cell=0.0 pbc="T T T"
Sm -0.826 4.218 -2.249
Sm 0.874 1.538 2.193
Sm 0.848 1.487 -1.182
Sm 4.103 1.535 4.503
Sm 2.398 4.217 0.061
In 2.428 4.265 3.435
Mg -0.806 4.262 1.130
Mg 4.074 1.484 1.130